[1]
Entry from Alexandria: a relaxed structure of YTl2Se2O6 (PBE).

Cell and atoms, written as POSCAR:
```
YTl2Se2O6
1.0
-3.564 3.640 -3.027
-1.104 -5.530 0.451
-2.702 2.749 6.489
Tl O Y Se
2 6 1 2
Direct
0.272 0.544 0.897 Tl
0.728 0.456 0.103 Tl
0.221 0.991 0.714 O
0.230 0.009 0.286 O
0.770 0.991 0.714 O
0.743 0.486 0.573 O
0.257 0.514 0.427 O
0.779 0.009 0.286 O
0.500 0.000 0.500 Y
0.891 0.783 0.754 Se
0.109 0.217 0.246 Se
```

The mass density comes out at 5.99 Mg/m³. For the energy relative to the elements, uncorrected, the calculation gives -1.32 eV per atom. The spin magnetization comes out at 0.0 μB/f.u.

[2]
Entry from Alexandria: a relaxed structure of YCd2Br (PBE).

Cell and atoms, written as POSCAR:
```
YCd2Br
1.0
-4.285 -2.812 2.168
-3.573 -4.090 -1.212
2.247 -4.744 2.267
Cd Y Br
2 1 1
Direct
0.753 0.753 0.813 Cd
0.005 0.005 0.939 Cd
0.508 0.508 0.401 Y
0.233 0.233 0.346 Br
```

The mass density comes out at 6.17 Mg/m³. Its relative energy among the computed polymorphs is 20.7 kJ/mol of formula units. For the energy relative to the elements, uncorrected, the calculation gives -0.48 eV per atom. The spin magnetization comes out at 0.0 μB/f.u.

[3]
Entry from Alexandria: a relaxed structure of BPIrC2 (PBE).

Cell and atoms, written as POSCAR:
```
BPIrC2
1.0
6.262 0.000 0.010
0.000 2.743 0.000
-5.497 0.000 6.966
P B Ir C
2 2 2 4
Direct
0.463 0.500 0.603 P
0.463 0.000 0.103 P
0.851 0.000 0.327 B
0.851 0.500 0.827 B
0.135 0.500 0.275 Ir
0.135 0.000 0.775 Ir
0.962 0.000 0.927 C
0.962 0.500 0.427 C
0.208 0.500 0.639 C
0.208 0.000 0.139 C
```

The mass density comes out at 7.15 Mg/m³. Its relative energy among the computed polymorphs is 35.3 kJ/mol of formula units. The calculation puts the formation energy from the elements at 0.417 eV/atom. The spin magnetization comes out at 0.0 μB/f.u.

[4]
Entry from Alexandria: a relaxed structure of ZnCrP2 (PBE).

Cell and atoms, written as POSCAR:
```
ZnCrP2
1.0
-2.883 6.242 1.632
-5.261 4.288 1.968
-3.209 4.637 4.259
P Cr Zn
2 1 1
Direct
0.009 0.009 0.009 P
0.491 0.491 0.491 P
0.750 0.750 0.750 Cr
0.250 0.250 0.250 Zn
```

The mass density comes out at 5.25 Mg/m³. The calculation puts the formation energy from the elements at -0.082 eV/atom. The spin magnetization comes out at 0.0 μB/f.u.

[5]
Entry from Alexandria: a relaxed structure of Na3Er2PaTe6 (PBE).

Cell and atoms, written as POSCAR:
```
Na3Er2PaTe6
1.0
-1.707 -6.205 -4.028
1.592 -0.596 7.399
-7.352 3.218 0.543
Te Na Er Pa
6 3 2 1
Direct
0.922 0.585 0.766 Te
0.078 0.415 0.234 Te
0.741 0.741 0.234 Te
0.415 0.078 0.234 Te
0.585 0.922 0.766 Te
0.259 0.259 0.766 Te
0.500 0.500 0.500 Na
0.834 0.166 0.500 Na
0.166 0.834 0.500 Na
0.667 0.333 0.000 Er
0.333 0.667 0.000 Er
0.000 0.000 0.000 Pa
```

The mass density comes out at 6.10 Mg/m³. For the energy relative to the elements, uncorrected, the calculation gives -1.13 eV per atom. The spin magnetization comes out at 1.8 μB/f.u.

[6]
Entry from Alexandria: a relaxed structure of ScNb2GeI (PBE).

Cell and atoms, written as POSCAR:
```
ScNb2GeI
1.0
5.036 0.000 0.000
0.000 4.907 0.000
0.000 0.000 5.036
Ge Nb I Sc
1 2 1 1
Direct
0.000 0.500 0.000 Ge
0.000 0.000 0.500 Nb
0.500 0.000 0.000 Nb
0.500 0.500 0.500 I
0.000 0.000 0.000 Sc
```

The mass density comes out at 5.74 Mg/m³. For the energy relative to the elements, uncorrected, the calculation gives 1.35 eV per atom. The spin magnetization comes out at 0.9 μB/f.u.

[7]
Entry from Alexandria: a relaxed structure of CrAgP2 (PBE).

Cell and atoms, written as POSCAR:
```
CrAgP2
1.0
5.211 0.000 0.000
2.623 4.503 0.000
-3.917 -2.251 2.597
Cr Ag P
1 1 2
Direct
0.750 0.250 0.500 Cr
0.500 0.500 0.000 Ag
0.250 0.750 0.500 P
0.000 0.000 0.000 P
```

The mass density comes out at 6.05 Mg/m³. Its relative energy among the computed polymorphs is 148.0 kJ/mol of formula units. The calculation puts the formation energy from the elements at 0.338 eV/atom. The spin magnetization comes out at 2.9 μB/f.u.

[8]
Entry from Alexandria: a relaxed structure of LiAl2HPd (PBE).

Cell and atoms, written as POSCAR:
```
LiAl2HPd
1.0
-0.692 -3.763 1.906
3.992 -1.208 -0.936
1.025 1.225 2.791
Li H Pd Al
1 1 1 2
Direct
0.000 0.000 0.500 Li
0.000 0.000 0.000 H
0.500 0.500 0.500 Pd
0.000 0.500 0.000 Al
0.500 0.000 0.000 Al
```

The mass density comes out at 4.76 Mg/m³. The value obtained for the total energy is -3.961 eV/atom. The spin magnetization comes out at 0.0 μB/f.u.

[9]
Entry from Alexandria: a relaxed structure of CeYIn2 (PBE).

Cell and atoms, written as POSCAR:
```
CeYIn2
1.0
-0.004 -3.251 -1.220
1.297 -1.133 3.015
-8.350 -1.172 3.152
Ce In Y
1 2 1
Direct
0.500 0.500 0.000 Ce
0.000 0.000 0.256 In
0.000 0.000 0.744 In
0.500 0.500 0.500 Y
```

The mass density comes out at 7.02 Mg/m³. Its relative energy among the computed polymorphs is 0.0 kJ/mol of formula units. The calculation puts the formation energy from the elements at -0.428 eV/atom. The spin magnetization comes out at 1.2 μB/f.u.

[10]
Entry from Alexandria: a relaxed structure of HIrOs2Se (PBE).

Cell and atoms, written as POSCAR:
```
HIrOs2Se
1.0
4.866 0.000 0.000
0.000 3.215 0.000
0.000 0.000 4.866
Os H Se Ir
2 1 1 1
Direct
0.500 0.000 0.000 Os
0.000 0.000 0.500 Os
0.000 0.500 0.000 H
0.500 0.500 0.500 Se
0.000 0.000 0.000 Ir
```

The mass density comes out at 14.24 Mg/m³. The value obtained for the total energy is -6.335 eV/atom. The spin magnetization comes out at 0.0 μB/f.u.

[11]
Entry from Alexandria: a relaxed structure of Cd3BRh (PBE).

Cell and atoms, written as POSCAR:
```
Cd3BRh
1.0
-0.115 -2.548 3.662
3.838 -1.924 -1.218
2.274 3.118 2.241
Rh Cd B
1 3 1
Direct
0.500 0.500 0.500 Rh
0.000 0.500 0.000 Cd
0.000 0.000 0.500 Cd
0.500 0.000 0.000 Cd
0.000 0.000 0.000 B
```

The mass density comes out at 8.43 Mg/m³. Its relative energy among the computed polymorphs is 0.0 kJ/mol of formula units. The calculation puts the formation energy from the elements at 0.607 eV/atom. The spin magnetization comes out at 0.0 μB/f.u.

[12]
Entry from Alexandria: a relaxed structure of PaNbRe2N6 (PBE).

Cell and atoms, written as POSCAR:
```
PaNbRe2N6
1.0
5.429 0.087 -0.022
2.790 4.725 -0.113
2.719 1.501 4.720
Re N Nb Pa
2 6 1 1
Direct
0.045 0.031 0.933 Re
0.513 0.516 0.476 Re
0.615 0.250 0.233 N
0.333 0.770 0.714 N
0.249 0.891 0.232 N
0.731 0.140 0.760 N
0.157 0.374 0.745 N
0.916 0.597 0.253 N
0.308 0.271 0.093 Nb
0.796 0.821 0.576 Pa
```

The mass density comes out at 10.71 Mg/m³. For the energy relative to the elements, uncorrected, the calculation gives -0.53 eV per atom. The spin magnetization comes out at 0.0 μB/f.u.

What is the formula in the seventh record? CrAgP2